VASP calculation (PBE) on MnBe2Br after structural relaxation.

Summary:
Total energy: -0.15183 hartree per atom
N(E_F): 2.5 states/eV/f.u.
E_form (uncorrected): 0.442 eV/atom
Energy above the most stable polymorph in this dataset: 255 meV/atom

```
data_MnBe2Br
_chemical_formula_sum 'Mn1 Be2 Br1'
_cell_length_a 2.7198
_cell_length_b 2.7198
_cell_length_c 9.5510
_cell_angle_alpha 90.00
_cell_angle_beta 90.00
_cell_angle_gamma 90.00
_space_group_name_H-M_alt 'P 4/m m m'
_space_group_IT_number 123
_space_group_name_Hall '-P 4 2'
loop_
_atom_site_label
_atom_site_type_symbol
_atom_site_fract_x
_atom_site_fract_y
_atom_site_fract_z
Mn1 Mn 0.0000 0.0000 0.0000
Be1 Be 0.5000 0.5000 0.1290
Br1 Br 0.0000 0.0000 0.5000
```


VASP calculation (PBE) on InRu3 after structural relaxation.

Summary:
Total energy: -0.26656 hartree per atom
N(E_F): 2.7 states/eV/f.u.
Formation energy: 8.95 kcal/mol of atoms

```
data_InRu3
_chemical_formula_sum 'In1 Ru3'
_cell_length_a 4.4144
_cell_length_b 4.4144
_cell_length_c 3.2228
_cell_angle_alpha 90.00
_cell_angle_beta 90.00
_cell_angle_gamma 90.00
_space_group_name_H-M_alt 'P 4/m m m'
_space_group_IT_number 123
_space_group_name_Hall '-P 4 2'
loop_
_atom_site_label
_atom_site_type_symbol
_atom_site_fract_x
_atom_site_fract_y
_atom_site_fract_z
In1 In 0.0000 0.0000 0.0000
Ru1 Ru 0.0000 0.5000 0.5000
Ru2 Ru 0.5000 0.5000 0.0000
```